(1)
The following is a PBE calculation of a relaxed structure of SbTeRu2, from the Alexandria database.

POSCAR file:
```
SbTeRu2
1.0
4.674 0.000 0.000
0.000 4.674 0.000
0.000 0.000 3.288
Te Ru Sb
1 2 1
Cartesian
0.000 2.337 1.644
2.337 2.337 0.000
0.000 0.000 0.000
2.337 0.000 1.644
```

Calculated values
**Electronic total energy**: -0.22785 Ha/atom
**Spin magnetization**: 0.3172 μB per atom
**Uncorrected formation energy**: 0.254 eV/atom



(2)
The following is a PBE calculation of a relaxed structure of Ag2PtPb, from the Alexandria database.

POSCAR file:
```
Ag2PtPb
1.0
-1.805 -0.678 4.833
-1.994 -3.408 -3.389
2.356 -1.977 0.602
Pt Ag Pb
1 2 1
Cartesian
0.181 -2.693 -1.393
-1.899 -2.043 0.722
0.000 0.000 0.000
0.276 -1.328 2.718
```

Calculated values
**Electronic total energy**: -0.13784 Ha/atom
**Formation enthalpy at 0 K**: 112 meV/atom
**Spin magnetization**: 0.0000 μB per atom